(1)
! SrMg2Re | the Alexandria database | GGA-PBE | relaxed; values from VASP
! DOS(E_F) in states/eV per cell: 4.18
! Final energy in eV/atom: -3.72
! Symmetry: Cmm2
&SYSTEM
  ibrav = 0, nat = 4, ntyp = 3
/
ATOMIC_SPECIES
Sr 87.62 Sr.upf
Mg 24.30 Mg.upf
Re 186.21 Re.upf
CELL_PARAMETERS angstrom
2.1261 -2.1306 0.0000
2.1261 2.1306 0.0000
0.0000 0.0000 9.8802
ATOMIC_POSITIONS crystal
Sr 0.0000 0.0000 0.0000
Mg 0.0000 0.0000 0.4469
Mg 0.5000 0.5000 0.6951
Re 0.5000 0.5000 0.2496


(2)
! Pu2Zn2Ga3 | the Alexandria database | GGA-PBE | relaxed; values from VASP
! DOS(E_F) in states/eV per cell: 46.24
! Final energy in eV/atom: -6.00
! Symmetry: Cmcm
&SYSTEM
  ibrav = 0, nat = 14, ntyp = 3
/
ATOMIC_SPECIES
Pu 244.00 Pu.upf
Zn 65.41 Zn.upf
Ga 69.72 Ga.upf
CELL_PARAMETERS angstrom
2.2050 -9.3424 0.0000
2.2050 9.3424 0.0000
0.0000 0.0000 6.8751
ATOMIC_POSITIONS crystal
Pu 0.0461 0.9539 0.7500
Pu 0.1586 0.8414 0.2500
Pu 0.8414 0.1586 0.7500
Pu 0.9539 0.0461 0.2500
Zn 0.3140 0.6860 0.0617
Zn 0.3140 0.6860 0.4383
Zn 0.6860 0.3140 0.5617
Zn 0.6860 0.3140 0.9383
Ga 0.2222 0.7778 0.7500
Ga 0.4385 0.5615 0.5688
Ga 0.4385 0.5615 0.9312
Ga 0.5615 0.4385 0.0688
Ga 0.5615 0.4385 0.4312
Ga 0.7778 0.2222 0.2500


(3)
! ErTh2Bi2As2 | the Alexandria database | GGA-PBE | relaxed; values from VASP
! DOS(E_F) in states/eV per cell: 4.63
! Final energy in eV/atom: -5.85
! Symmetry: I4/mmm
&SYSTEM
  ibrav = 0, nat = 7, ntyp = 4
/
ATOMIC_SPECIES
Er 167.26 Er.upf
Th 232.04 Th.upf
Bi 208.98 Bi.upf
As 74.92 As.upf
CELL_PARAMETERS angstrom
-2.6096 2.6096 8.0107
2.6096 -2.6096 8.0107
2.6096 2.6096 -8.0107
ATOMIC_POSITIONS crystal
Er 0.0000 0.0000 0.0000
Th 0.3916 0.3916 0.0000
Th 0.6084 0.6084 0.0000
Bi 0.1944 0.1944 0.0000
Bi 0.8056 0.8056 0.0000
As 0.0000 0.5000 0.5000
As 0.5000 0.0000 0.5000


(4)
! TiBi3I | the Alexandria database | GGA-PBE | relaxed; values from VASP
! DOS(E_F) in states/eV per cell: 1.34
! Final energy in eV/atom: -4.14
! Symmetry: Pm-3m
&SYSTEM
  ibrav = 0, nat = 5, ntyp = 3
/
ATOMIC_SPECIES
Ti 47.87 Ti.upf
Bi 208.98 Bi.upf
I 126.90 I.upf
CELL_PARAMETERS angstrom
5.4569 0.0000 0.0000
0.0000 5.4569 0.0000
0.0000 0.0000 5.4569
ATOMIC_POSITIONS crystal
Ti 0.0000 0.0000 0.0000
Bi 0.0000 0.0000 0.5000
Bi 0.0000 0.5000 0.0000
Bi 0.5000 0.0000 0.0000
I 0.5000 0.5000 0.5000


Question: Which formula does entry 3 have?
Answer: ErTh2Bi2As2


Repeat the third record exactly.
! ErTh2Bi2As2 | the Alexandria database | GGA-PBE | relaxed; values from VASP
! DOS(E_F) in states/eV per cell: 4.63
! Final energy in eV/atom: -5.85
! Symmetry: I4/mmm
&SYSTEM
  ibrav = 0, nat = 7, ntyp = 4
/
ATOMIC_SPECIES
Er 167.26 Er.upf
Th 232.04 Th.upf
Bi 208.98 Bi.upf
As 74.92 As.upf
CELL_PARAMETERS angstrom
-2.6096 2.6096 8.0107
2.6096 -2.6096 8.0107
2.6096 2.6096 -8.0107
ATOMIC_POSITIONS crystal
Er 0.0000 0.0000 0.0000
Th 0.3916 0.3916 0.0000
Th 0.6084 0.6084 0.0000
Bi 0.1944 0.1944 0.0000
Bi 0.8056 0.8056 0.0000
As 0.0000 0.5000 0.5000
As 0.5000 0.0000 0.5000


Question: Which value of DOS(E_F) does entry 1 give?
Answer: 4.18 states/eV per cell